# 1
Entry from Alexandria via LeMat-Bulk: a relaxed MnCoTcGeSe crystal (PBE).

```
data_MnCoTcGeSe
_symmetry_space_group_name_H-M 'C 1 m 1'
_symmetry_Int_Tables_number 8
_cell_length_a 7.449
_cell_length_b 3.887
_cell_length_c 5.134
_cell_angle_alpha 90.00
_cell_angle_beta 93.10
_cell_angle_gamma 90.00
loop_
_symmetry_equiv_pos_as_xyz
'x,y,z'
'x,-y,z'
'x+1/2,y+1/2,z'
'x+1/2,-y+1/2,z'
loop_
_atom_site_label
_atom_site_type_symbol
_atom_site_fract_x
_atom_site_fract_y
_atom_site_fract_z
Mn1 Mn 0.000 0.000 0.000
Co1 Co 0.052 0.500 0.648
Tc1 Tc 0.155 0.500 0.173
Ge1 Ge 0.305 0.000 0.904
Se1 Se 0.452 0.500 0.448
```

## Properties
E above lowest polymorph: 0.04 eV/f.u.
magnetization: 0.000 μB per cell
DOS at the Fermi energy: 7.07 states/eV per cell
total energy: -6.913 eV/atom
formation energy (no corrections): 36.1 meV/atom

---

# 2
Entry from Alexandria via LeMat-Bulk: a relaxed MnCoTcGeSe crystal (PBE).

```
data_MnCoTcGeSe
_symmetry_space_group_name_H-M 'C 1 m 1'
_symmetry_Int_Tables_number 8
_cell_length_a 8.284
_cell_length_b 3.042
_cell_length_c 6.646
_cell_angle_alpha 90.00
_cell_angle_beta 109.78
_cell_angle_gamma 90.00
loop_
_symmetry_equiv_pos_as_xyz
'x,y,z'
'x,-y,z'
'x+1/2,y+1/2,z'
'x+1/2,-y+1/2,z'
loop_
_atom_site_label
_atom_site_type_symbol
_atom_site_fract_x
_atom_site_fract_y
_atom_site_fract_z
Mn1 Mn 0.000 0.000 0.000
Co1 Co 0.126 0.000 0.432
Tc1 Tc 0.262 0.500 0.155
Ge1 Ge 0.234 0.000 0.823
Se1 Se 0.419 0.000 0.463
```

## Properties
E above lowest polymorph: 0.45 eV/f.u.
magnetization: 3.740 μB per cell
DOS at the Fermi energy: 7.80 states/eV per cell
total energy: -6.831 eV/atom
formation energy (no corrections): 117.3 meV/atom

---

Which value of magnetization does entry 2 give?
3.740 μB per cell